VASP calculation (PBEsol) on Tl2Pb2I after structural relaxation.

Lattice parameters (Å, degrees): 4.4986 4.4986 16.3812 90.00 90.00 90.00
With the nearest neighbours (Å) after each atom.
Space group I4/mmm (No. 139)
Symmetry-distinct sites (fractional):
Tl 0.0000 0.0000 0.0929 [4 per cell]  1 Tl 3.04
Pb 0.0000 0.5000 0.2500 [4 per cell]  4 Pb 3.18, 4 Tl 3.42
I 0.0000 0.0000 0.5000 [2 per cell]  8 Tl 3.53

Values from the calculation:
Formation energy (no corrections): -0.152 eV/f.u.

=====

VASP calculation (PBEsol) on Tc3Ru after structural relaxation.

Lattice parameters (Å, degrees): 2.7052 8.6300 4.7129 90.00 90.00 90.00
With the nearest neighbours (Å) after each atom.
Space group Imm2 (No. 44)
Symmetry-distinct sites (fractional):
Tc 0.0000 0.0000 0.0000 [2 per cell]  8 Tc 2.65-2.71, 4 Ru 2.71-2.73
Tc 0.0000 0.2490 0.3297 [4 per cell]  9 Tc 2.65-2.72, 3 Ru 2.66-2.67
Ru 0.0000 0.5000 0.9972 [2 per cell]  10 Tc 2.66-2.73, 2 Ru 2.71

Values from the calculation:
Formation enthalpy at 0 K: -0.05 eV/atom

=====

VASP calculation (PBEsol) on Sr12Sn4N3 after structural relaxation.

Lattice parameters (Å, degrees): 5.1972 5.1972 20.8676 90.00 90.00 90.00
With the nearest neighbours (Å) after each atom.
Space group P4/mmm (No. 123)
Symmetry-distinct sites (fractional):
Sr 0.0000 0.0000 0.1227 [2 per cell]  2 N 2.56-2.67
Sr 0.0000 0.0000 0.3643 [2 per cell]  1 N 2.37
Sr 0.0000 0.5000 0.0000 [2 per cell]  2 N 2.60
Sr 0.0000 0.5000 0.2458 [4 per cell]  2 N 2.60
Sr 0.0000 0.5000 0.5000 [2 per cell]  4 Sn 3.56, 8 Sr 3.67-3.84
Sn 0.5000 0.5000 0.1249 [2 per cell]  12 Sr 3.62-3.68
Sn 0.5000 0.5000 0.3833 [2 per cell]  12 Sr 3.56-3.87
N 0.0000 0.0000 0.0000 [1 per cell]  6 Sr 2.56-2.60
N 0.0000 0.0000 0.2508 [2 per cell]  5 Sr 2.37-2.60

Values from the calculation:
Formation energy (no corrections): -12.877 eV/f.u.

=====

VASP calculation (PBEsol) on Bi2TeO2 after structural relaxation.

Lattice parameters (Å, degrees): 3.9673 3.9673 12.6175 90.00 90.00 90.00
With the nearest neighbours (Å) after each atom.
Space group I4/mmm (No. 139)
Symmetry-distinct sites (fractional):
Bi 0.0000 0.0000 0.1523 [4 per cell]  4 O 2.34
Te 0.0000 0.0000 0.5000 [2 per cell]  8 Bi 3.40, 8 O 3.73
O 0.0000 0.5000 0.2500 [4 per cell]  4 Bi 2.34

Values from the calculation:
Formation energy (no corrections): -4.750 eV/f.u.

=====

VASP calculation (PBEsol) on ScC2 after structural relaxation.

Lattice parameters (Å, degrees): 3.3744 4.5178 4.6145 90.00 90.00 90.00
With the nearest neighbours (Å) after each atom.
Space group Immm (No. 71)
Symmetry-distinct sites (fractional):
Sc 0.0000 0.0000 0.0000 [2 per cell]  8 C 2.33-2.40
C 0.0000 0.1440 0.5000 [4 per cell]  1 C 1.30

Values from the calculation:
Formation enthalpy at 0 K: -0.05 eV/atom

=====

VASP calculation (PBEsol) on ZnNiIr2 after structural relaxation.

Lattice parameters (Å, degrees): 5.8973 5.8973 5.8973 90.00 90.00 90.00
With the nearest neighbours (Å) after each atom.
Space group Fm-3m (No. 225)
Symmetry-distinct sites (fractional):
Zn 0.0000 0.0000 0.0000 [4 per cell]  8 Ir 2.55
Ni 0.0000 0.0000 0.5000 [4 per cell]  8 Ir 2.55
Ir 0.2500 0.2500 0.2500 [8 per cell]  4 Ni 2.55, 4 Zn 2.55

Values from the calculation:
Formation enthalpy at 0 K: 0.06 eV/atom

=====

VASP calculation (PBEsol) on HgIrW2 after structural relaxation.

Lattice parameters (Å, degrees): 3.8428 3.8428 8.6161 90.00 90.00 90.00
With the nearest neighbours (Å) after each atom.
Space group I4/mmm (No. 139)
Symmetry-distinct sites (fractional):
Hg 0.0000 0.0000 0.0000 [2 per cell]  4 Ir 2.72, 8 W 2.89
Ir 0.0000 0.0000 0.5000 [2 per cell]  4 Hg 2.72, 8 W 2.89
W 0.0000 0.5000 0.2500 [4 per cell]  4 W 2.72, 4 Hg 2.89, 4 Ir 2.89

Values from the calculation:
Formation enthalpy at 0 K: 0.47 eV/atom

=====

VASP calculation (PBEsol) on LiInPb after structural relaxation.

Lattice parameters (Å, degrees): 3.4076 4.3100 9.7833 90.00 90.00 90.00
With the nearest neighbours (Å) after each atom.
Space group Imm2 (No. 44)
Symmetry-distinct sites (fractional):
Li 0.0000 0.0000 0.0000 [2 per cell]  5 In 3.16-3.33, 5 Pb 3.20-3.26, 2 Li 3.41
In 0.0000 0.0000 0.3404 [2 per cell]  5 Li 3.16-3.33, 5 Pb 3.20-3.23, 2 In 3.41
Pb 0.0000 0.0000 0.6671 [2 per cell]  5 In 3.20-3.23, 5 Li 3.20-3.26, 2 Pb 3.41

Values from the calculation:
Formation enthalpy at 0 K: -0.17 eV/atom

=====

VASP calculation (PBEsol) on Cr2P2Rh after structural relaxation.

Lattice parameters (Å, degrees): 3.7756 3.7756 8.8987 90.00 90.00 90.00
With the nearest neighbours (Å) after each atom.
Space group I4/mmm (No. 139)
Symmetry-distinct sites (fractional):
Cr 0.0000 0.5000 0.2500 [4 per cell]  4 P 2.23
P 0.0000 0.0000 0.1166 [4 per cell]  1 P 2.08, 4 Cr 2.23
Rh 0.0000 0.0000 0.5000 [2 per cell]  8 P 2.86, 8 Cr 2.92

Values from the calculation:
Formation enthalpy at 0 K: -0.20 eV/atom

=====

VASP calculation (PBEsol) on BaCdNi after structural relaxation.

Lattice parameters (Å, degrees): 7.3274 7.3274 7.3274 90.00 90.00 90.00
With the nearest neighbours (Å) after each atom.
Space group F-43m (No. 216)
Symmetry-distinct sites (fractional):
Ba 0.0000 0.0000 0.0000 [4 per cell]  4 Cd 3.17, 4 Ni 3.17
Cd 0.2500 0.2500 0.2500 [4 per cell]  4 Ba 3.17
Ni 0.2500 0.2500 0.7500 [4 per cell]  4 Ba 3.17

Values from the calculation:
Formation enthalpy at 0 K: 0.73 eV/atom

=====

VASP calculation (PBEsol) on Li2AgHg after structural relaxation.

Lattice parameters (Å, degrees): 4.4471 4.4471 3.2297 90.00 90.00 90.00
With the nearest neighbours (Å) after each atom.
Space group P4/mmm (No. 123)
Symmetry-distinct sites (fractional):
Li 0.0000 0.5000 0.0000 [2 per cell]  4 Hg 2.75, 4 Ag 2.75
Ag 0.0000 0.0000 0.5000 [1 per cell]  8 Li 2.75
Hg 0.5000 0.5000 0.5000 [1 per cell]  8 Li 2.75

Values from the calculation:
Formation enthalpy at 0 K: -0.31 eV/atom

=====

VASP calculation (PBEsol) on ZrTaP after structural relaxation.

Lattice parameters (Å, degrees): 4.2244 4.2244 3.4818 90.00 90.00 120.00
With the nearest neighbours (Å) after each atom.
Space group P-6m2 (No. 187)
Symmetry-distinct sites (fractional):
Zr 0.0000 0.0000 0.0000 [1 per cell]  6 Ta 3.00, 6 P 3.00
Ta 0.6667 0.3333 0.5000 [1 per cell]  3 P 2.44
P 0.3333 0.6667 0.5000 [1 per cell]  3 Ta 2.44

Values from the calculation:
Formation enthalpy at 0 K: -0.27 eV/atom

=====

Number 1: Fermi-level density of states 5.42 states/eV per cell, VASP energy -3.035 eV per atom. Number 2: Fermi-level density of states 6.44 states/eV per cell, VASP energy -11.042 eV per atom. Number 3: Fermi-level density of states 15.46 states/eV per cell, VASP energy -4.083 eV per atom. Number 4: Fermi-level density of states 0.41 states/eV per cell, VASP energy -5.469 eV per atom. Number 5: Fermi-level density of states 2.26 states/eV per cell, VASP energy -8.682 eV per atom. Number 6: Fermi-level density of states 21.69 states/eV per cell, VASP energy -6.784 eV per atom. Number 7: Fermi-level density of states 7.05 states/eV per cell, VASP energy -9.031 eV per atom. Number 8: Fermi-level density of states 2.15 states/eV per cell, VASP energy -3.151 eV per atom. Number 9: Fermi-level density of states 7.01 states/eV per cell, VASP energy -8.242 eV per atom. Number 10: Fermi-level density of states 20.59 states/eV per cell, VASP energy -2.436 eV per atom. Number 11: Fermi-level density of states 1.07 states/eV per cell, VASP energy -2.260 eV per atom. Number 12: Fermi-level density of states 2.81 states/eV per cell, VASP energy -9.412 eV per atom.